[1]
VASP calculation (PBE) on a relaxed LaNdPt3 crystal.

Cell and atoms, written as CIF:
```
data_LaNdPt3
_chemical_formula_sum 'La4 Nd4 Pt12'
_symmetry_space_group_name_H-M 'P n n m'
_symmetry_Int_Tables_number 58
_cell_length_a 7.122
_cell_length_b 8.008
_cell_length_c 8.036
_cell_angle_alpha 90.00
_cell_angle_beta 90.00
_cell_angle_gamma 90.00
loop_
_symmetry_equiv_pos_as_xyz
'x,y,z'
'-x,-y,-z'
'-x,-y,z'
'x,y,-z'
'x+1/2,-y+1/2,-z+1/2'
'-x+1/2,y+1/2,z+1/2'
'-x+1/2,y+1/2,-z+1/2'
'x+1/2,-y+1/2,z+1/2'
loop_
_atom_site_label
_atom_site_fract_x
_atom_site_fract_y
_atom_site_fract_z
La1 0.213 0.137 0.000
Nd1 0.212 0.137 0.500
Pt1 0.000 0.500 0.246
Pt2 0.122 0.855 0.252
```

* calculated volume: 458.29 Å³ per cell
* energy of formation from the pure elements: -1051 meV per atom

***

[2]
VASP calculation (PBE) on a relaxed Hf5CoAu crystal.

Cell and atoms, written as CIF:
```
data_Hf5CoAu
_chemical_formula_sum 'Hf20 Co4 Au4'
_symmetry_space_group_name_H-M 'C 1 2/c 1'
_symmetry_Int_Tables_number 15
_cell_length_a 7.893
_cell_length_b 7.067
_cell_length_c 10.460
_cell_angle_alpha 90.00
_cell_angle_beta 105.93
_cell_angle_gamma 90.00
loop_
_symmetry_equiv_pos_as_xyz
'x,y,z'
'-x,-y,-z'
'-x,y,-z+1/2'
'x,-y,z+1/2'
'x+1/2,y+1/2,z'
'-x+1/2,-y+1/2,-z'
'-x+1/2,y+1/2,-z+1/2'
'x+1/2,-y+1/2,z+1/2'
loop_
_atom_site_label
_atom_site_fract_x
_atom_site_fract_y
_atom_site_fract_z
Hf1 0.000 0.008 0.250
Hf2 0.126 0.348 0.556
Hf3 0.242 0.316 0.871
Co1 0.000 0.000 0.000
Au1 0.000 0.400 0.250
```

* calculated volume: 561.01 Å³ per cell
* energy of formation from the pure elements: -67 meV per atom

***

[3]
VASP calculation (PBE) on a relaxed BeOsN2F crystal.

Cell and atoms, written as CIF:
```
data_BeOsN2F
_chemical_formula_sum 'Be1 Os1 N2 F1'
_symmetry_space_group_name_H-M 'P 4/m m m'
_symmetry_Int_Tables_number 123
_symmetry_space_group_name_Hall '-P 4 2'
_cell_length_a 3.795
_cell_length_b 3.795
_cell_length_c 2.952
_cell_angle_alpha 90.00
_cell_angle_beta 90.00
_cell_angle_gamma 90.00
loop_
_atom_site_label
_atom_site_fract_x
_atom_site_fract_y
_atom_site_fract_z
Be1 0.000 0.000 0.000
Os1 0.500 0.500 0.500
N1 0.000 0.500 0.000
F1 0.000 0.000 0.500
```

* calculated volume: 42.51 Å³ per cell
* formation energy from raw total energies: 0.647 eV per atom

***

- The lowest calculated volume belongs to which entry?
  BeOsN2F